{
  "formula": "Sr4LaMn5O15",
  "functional": "PBE with a Hubbard U",
  "state": "optimized geometry",
  "volume_a3_per_atom": 11.7,
  "mass_density_kg_m3": 5677,
  "energy_ev_per_cell": -177.38,
  "space_group": "C2/m",
  "total_magnetization_mub_per_cell": 16.0,
  "lattice_angstrom": [[-3.6249, 3.4760, 2.2424], [-2.3671, -4.9672, 3.8733], [7.8756, 1.7884, 3.2136]],
  "species": ["Sr", "Sr", "Sr", "Sr", "La", "Mn", "Mn", "Mn", "Mn", "Mn", "O", "O", "O", "O", "O", "O", "O", "O", "O", "O", "O", "O", "O", "O", "O"],
  "fractional_positions": [[0.6004, 0.4004, 0.2008], [0.3996, 0.5996, 0.7992], [0.2001, 0.7995, 0.4002], [0.7999, 0.2005, 0.5998], [0.0000, 0.0000, 0.0000], [0.0000, 0.5000, 0.0000], [0.7994, 0.6984, 0.5987], [0.2006, 0.3016, 0.4013], [0.6009, 0.9002, 0.2018], [0.3991, 0.0998, 0.7982], [0.5000, 0.0000, 0.0000], [0.0000, 0.5000, 0.5000], [0.5000, 0.5000, 0.5000], [0.9018, 0.6050, 0.8035], [0.0982, 0.3950, 0.1965], [0.7018, 0.8083, 0.4036], [0.2982, 0.1917, 0.5964], [0.6100, 0.9004, 0.7104], [0.3900, 0.0996, 0.2896], [0.8996, 0.0996, 0.2896], [0.1004, 0.9004, 0.7104], [0.1971, 0.2944, 0.9023], [0.8029, 0.7056, 0.0977], [0.2948, 0.7056, 0.0977], [0.7052, 0.2944, 0.9023]]
}